1.
A relaxed BaFeRh2 crystal. Source: the Alexandria database, functional PBE.

Cell and atoms, written as extended XYZ:
```
4
Lattice="0.000 3.377 3.377 3.377 0.000 3.377 3.377 3.377 0.000" Properties=species:S:1:pos:R:3 pbc="T T T"
Ba 0.000 0.000 0.000
Fe 3.377 3.377 3.377
Rh 1.688 1.688 1.688
Rh 5.065 5.065 5.065
```

Calculated values
calculated formation energy = 0.509 eV per atom
V = 19.25 Å³ per atom
total magnetic moment = 3.98 μB/cell


2.
A relaxed BaFeRh2 crystal. Source: the Alexandria database, functional PBE.

Cell and atoms, written as extended XYZ:
```
4
Lattice="2.164 1.249 5.648 -2.164 1.249 5.648 0.000 -2.499 5.648" Properties=species:S:1:pos:R:3 pbc="T T T"
Ba 0.000 0.000 0.000
Fe 0.000 0.000 8.472
Rh 0.000 0.000 3.263
Rh 0.000 0.000 13.682
```

Calculated values
calculated formation energy = 0.016 eV per atom
V = 22.91 Å³ per atom
total magnetic moment = 3.54 μB/cell


3.
A relaxed BaFe2Rh crystal. Source: the Alexandria database, functional PBE.

Cell and atoms, written as extended XYZ:
```
4
Lattice="-1.546 2.614 4.801 1.546 -2.614 4.801 1.546 2.614 -4.801" Properties=species:S:1:pos:R:3 pbc="T T T"
Ba 0.000 0.000 0.000
Fe 1.546 0.000 2.855
Fe 0.000 0.000 4.777
Rh 0.000 2.614 2.043
```

Calculated values
calculated formation energy = 0.689 eV per atom
V = 19.40 Å³ per atom
total magnetic moment = 6.03 μB/cell


4.
A relaxed BaFe2Rh crystal. Source: the Alexandria database, functional PBE.

Cell and atoms, written as extended XYZ:
```
4
Lattice="2.134 1.232 5.717 -2.134 1.232 5.717 0.000 -2.465 5.717" Properties=species:S:1:pos:R:3 pbc="T T T"
Ba 0.000 0.000 0.000
Fe 0.000 0.000 3.241
Fe 0.000 0.000 13.911
Rh 0.000 0.000 8.576
```

Calculated values
calculated formation energy = 0.198 eV per atom
V = 22.56 Å³ per atom
total magnetic moment = 5.43 μB/cell